BaNaSiP2: optimized geometry, PBE.

Calculated values
- M_tot (μB/f.u.) = 0.0
- space-group type = Cmme, No. 67
- energy relative to the elements, uncorrected (eV per atom) = -0.33
- E (eV/atom) = -4.23

extended XYZ file:
```
10
Lattice="6.2328 0.0000 0.0000 0.0000 6.3937 0.0000 0.0000 -3.1968 6.0179" Properties=species:S:1:pos:R:3 pbc="T T T"
Ba 4.7212 0.0000 3.0090
Ba 1.5116 3.1968 3.0090
Si 0.0000 0.0000 0.0000
Si 0.0000 3.1968 0.0000
P 1.5043 0.0000 1.8655
P 4.7285 3.1968 4.1524
P 4.7285 3.1968 1.8655
P 1.5043 0.0000 4.1524
Na 3.1164 1.5984 0.0000
Na 3.1164 4.7952 0.0000
```

***

Ba2NaSn2P4: optimized geometry, PBE.

Calculated values
- M_tot (μB/f.u.) = 0.0
- energy of formation (eV per formula unit) = -4.8
- space-group type = C2/m, No. 12
- E (eV/atom) = -4.40

extended XYZ file:
```
9
Lattice="-2.3497 -2.8912 3.1353 7.6424 -3.0374 -0.8547 0.4301 4.7925 4.7418" Properties=species:S:1:pos:R:3 pbc="T T T"
P 2.9172 -0.1043 5.8713
P 2.8056 -1.0318 1.1511
P -0.8619 1.7418 4.7415
P 6.5847 -2.8780 2.2809
Na 0.0000 0.0000 0.0000
Ba 3.7436 -2.6881 4.1080
Ba 1.9792 1.5520 2.9144
Sn 4.8588 1.6990 5.2081
Sn 0.8641 -2.8352 1.8143
```

***

BaNaSnP2: optimized geometry, PBE.

Calculated values
- M_tot (μB/f.u.) = 0.0
- energy of formation (eV per formula unit) = -2.3
- space-group type = C2/m, No. 12
- E (eV/atom) = -4.07

extended XYZ file:
```
10
Lattice="4.9149 0.0000 0.0000 -2.4574 6.7066 0.0695 0.0000 -1.5504 9.0793" Properties=species:S:1:pos:R:3 pbc="T T T"
P 2.4574 4.9209 0.8721
P 0.0000 0.2352 8.2768
P 0.0000 4.2269 6.2134
P 2.4574 0.9292 2.9354
Ba 0.0000 4.2353 3.0184
Ba 2.4574 0.9209 6.1305
Na 2.4574 2.1556 0.4920
Na 0.0000 3.0006 8.6569
Sn 2.4574 4.6070 7.3173
Sn 0.0000 0.5492 1.8316
```